# 1
The following is a DFT calculation (GGA-PBEsol) of a relaxed structure of CaYMg2.

The formation energy is -10 meV per atom. The crystal system is orthorhombic. The calculation puts the volume at 227.79 Å³/cell. For the density of states at the Fermi level, the calculation gives 1.033 states/eV/atom.

It has space group Imm2 (No. 44), with a = 3.651 Å, b = 5.553 Å, c = 11.238 Å, α = 90.00°, β = 90.00° and γ = 90.00°. The distinct sites, in fractional coordinates, are Ca at (0.000, 0.000, 0.000), Y at (0.000, 0.500, 0.215), Mg at (0.000, 0.000, 0.467) and Mg at (0.000, 0.500, 0.755).


# 2
The following is a DFT calculation (GGA-PBEsol) of a relaxed structure of Ca2YMg.

The formation energy is 103 meV per atom. The crystal system is tetragonal. The calculation puts the volume at 259.98 Å³/cell. For the density of states at the Fermi level, the calculation gives 1.365 states/eV/atom.

It has space group I4/mmm (No. 139), with a = 5.003 Å, b = 5.003 Å, c = 10.389 Å, α = 90.00°, β = 90.00° and γ = 90.00°. The distinct sites, in fractional coordinates, are Ca at (0.000, 0.500, 0.250), Y at (0.000, 0.000, 0.000) and Mg at (0.000, 0.000, 0.500).


Question: volume of number 2 (Ca2YMg)?
Answer: 259.98 Å³/cell